# ZnC2N2

A relaxed ZnC2N2 crystal (GGA-PBE, Alexandria).

Cell lengths 7.933, 7.933, 2.407 Å; angles 90.00, 90.00, 90.00 degrees
Sites, in units of the cell vectors:
Zn 0.000 0.000 0.000
Zn 0.500 0.500 0.000
C 0.175 0.325 0.000
C 0.325 0.825 0.000
C 0.675 0.175 0.000
C 0.825 0.675 0.000
N 0.135 0.365 0.500
N 0.365 0.865 0.500
N 0.635 0.135 0.500
N 0.865 0.635 0.500

Summary:
Its density of states at the Fermi level is 0.3418 states/eV/atom. The value obtained for the formation energy without anion corrections is 0.898 eV/atom. Its total magnetization is 0.00 μB per cell.


# Pm5SmSn3

A relaxed Pm5SmSn3 crystal (GGA-PBE, Alexandria).

Cell lengths 9.577, 9.577, 6.727 Å; angles 90.00, 90.00, 120.00 degrees
Sites, in units of the cell vectors:
Pm 0.000 0.333 0.250
Pm 0.000 0.667 0.750
Pm 0.333 0.000 0.250
Pm 0.333 0.333 0.750
Pm 0.333 0.667 0.000
Pm 0.333 0.667 0.500
Pm 0.667 0.000 0.750
Pm 0.667 0.333 0.000
Pm 0.667 0.333 0.500
Pm 0.667 0.667 0.250
Sm 0.000 0.000 0.000
Sm 0.000 0.000 0.500
Sn 0.000 0.333 0.750
Sn 0.000 0.667 0.250
Sn 0.333 0.000 0.750
Sn 0.333 0.333 0.250
Sn 0.667 0.000 0.250
Sn 0.667 0.667 0.750

Summary:
Its density of states at the Fermi level is 1.0375 states/eV/atom. Its total magnetization is 5.39 μB per cell. Its formation energy from the elements is -0.576 eV/atom.


# TlOsRuO6

A relaxed TlOsRuO6 crystal (GGA-PBE, Alexandria).

Cell lengths 7.227, 7.227, 7.227 Å; angles 120.65, 119.70, 89.70 degrees
Sites, in units of the cell vectors:
Tl 0.351 0.101 0.250
Tl 0.649 0.899 0.750
Os 0.000 0.500 0.500
Os 0.500 0.500 0.000
Ru 0.000 0.000 0.500
Ru 0.000 0.500 0.000
O 0.063 0.431 0.252
O 0.063 0.811 0.631
O 0.066 0.816 0.250
O 0.317 0.567 0.750
O 0.320 0.189 0.752
O 0.320 0.569 0.131
O 0.680 0.431 0.869
O 0.680 0.811 0.248
O 0.683 0.433 0.250
O 0.934 0.184 0.750
O 0.937 0.189 0.369
O 0.937 0.569 0.748

Summary:
Its density of states at the Fermi level is 0.5799 states/eV/atom. The value obtained for the formation energy without anion corrections is -0.921 eV/atom. Its total magnetization is 0.00 μB per cell.


# La8Os3RhCl4

A relaxed La8Os3RhCl4 crystal (GGA-PBE, Alexandria).

Cell lengths 8.341, 8.341, 9.000 Å; angles 117.64, 117.64, 60.01 degrees
Sites, in units of the cell vectors:
La 0.229 0.738 0.704
La 0.236 0.236 0.706
La 0.262 0.262 0.296
La 0.262 0.771 0.296
La 0.738 0.229 0.704
La 0.738 0.738 0.704
La 0.764 0.764 0.294
La 0.771 0.262 0.296
Os 0.000 0.000 0.500
Os 0.000 0.500 0.500
Os 0.500 0.000 0.500
Rh 0.500 0.500 0.500
Cl 0.000 0.000 0.000
Cl 0.000 0.500 0.000
Cl 0.500 0.000 0.000
Cl 0.500 0.500 0.000

Summary:
Its density of states at the Fermi level is 0.6514 states/eV/atom. The value obtained for the formation energy without anion corrections is -1.020 eV/atom. Its total magnetization is 0.00 μB per cell.